Entry a
First-principles (PBE) data for TlN after structural relaxation, as listed in Alexandria via LeMat-Bulk.

Output
* symmetry: P6_3mc, No. 186

Lattice parameters (Å, degrees): 3.7364 3.7364 6.0580 90.00 90.00 120.00
Sites, in units of the cell vectors:
Tl 0.3333 0.6667 0.0000
Tl 0.6667 0.3333 0.5000
N 0.3333 0.6667 0.6214
N 0.6667 0.3333 0.1214

=====

Entry b
First-principles (PBE) data for TlN after structural relaxation, as listed in Alexandria via LeMat-Bulk.

Output
* symmetry: I4/m, No. 87

Lattice parameters (Å, degrees): 6.9736 6.9736 6.9736 94.31 94.31 148.17
Sites, in units of the cell vectors:
Tl 0.1050 0.7197 0.8247
Tl 0.2803 0.1050 0.3853
Tl 0.7197 0.8950 0.6147
Tl 0.8950 0.2803 0.1753
N 0.1257 0.2904 0.4160
N 0.2904 0.8743 0.1647
N 0.7096 0.1257 0.8353
N 0.8743 0.7096 0.5840

=====

Entry c
First-principles (PBE) data for TlN after structural relaxation, as listed in Alexandria via LeMat-Bulk.

Output
* symmetry: P6_3/m, No. 176

Lattice parameters (Å, degrees): 8.9572 8.9572 3.7952 90.00 90.00 120.00
Sites, in units of the cell vectors:
Tl 0.0865 0.6833 0.2500
Tl 0.3167 0.4031 0.2500
Tl 0.4031 0.0865 0.7500
Tl 0.5969 0.9135 0.2500
Tl 0.6833 0.5969 0.7500
Tl 0.9135 0.3167 0.7500
N 0.0761 0.4131 0.2500
N 0.3370 0.9239 0.2500
N 0.4131 0.3370 0.7500
N 0.5869 0.6630 0.2500
N 0.6630 0.0761 0.7500
N 0.9239 0.5869 0.7500

=====

Entry d
First-principles (PBE) data for TlN after structural relaxation, as listed in Alexandria via LeMat-Bulk.

Output
* symmetry: I-43m, No. 217

Lattice parameters (Å, degrees): 6.1775 6.1775 6.1775 109.47 109.47 109.47
Sites, in units of the cell vectors:
Tl 0.0000 0.0000 0.3408
Tl 0.0000 0.3408 0.0000
Tl 0.3408 0.0000 0.0000
Tl 0.6592 0.6592 0.6592
N 0.0000 0.0000 0.6898
N 0.0000 0.6898 0.0000
N 0.3102 0.3102 0.3102
N 0.6898 0.0000 0.0000

=====

Quick one: most stable of them? entry a

=====

Entry a
First-principles (PBE) data for TlN after structural relaxation, as listed in Alexandria via LeMat-Bulk.

Output
* symmetry: Pm-3n, No. 223

Lattice parameters (Å, degrees): 6.4648 6.4648 6.4648 90.00 90.00 90.00
Sites, in units of the cell vectors:
Tl 0.0000 0.2500 0.5000
Tl 0.0000 0.7500 0.5000
Tl 0.2500 0.5000 0.0000
Tl 0.5000 0.0000 0.2500
Tl 0.5000 0.0000 0.7500
Tl 0.7500 0.5000 0.0000
N 0.0000 0.5000 0.2500
N 0.0000 0.5000 0.7500
N 0.2500 0.0000 0.5000
N 0.5000 0.2500 0.0000
N 0.5000 0.7500 0.0000
N 0.7500 0.0000 0.5000

=====

Entry b
First-principles (PBE) data for TlN after structural relaxation, as listed in Alexandria via LeMat-Bulk.

Output
* symmetry: Fddd, No. 70

Lattice parameters (Å, degrees): 7.1742 6.4474 6.0380 70.06 57.65 52.29
Sites, in units of the cell vectors:
Tl 0.0561 0.6939 0.0561
Tl 0.3061 0.9439 0.3061
Tl 0.6939 0.0561 0.6939
Tl 0.9439 0.3061 0.9439
N 0.0275 0.0275 0.7225
N 0.2775 0.2775 0.9725
N 0.7225 0.7225 0.0275
N 0.9725 0.9725 0.2775

=====

Quick one: most stable of them? entry a